Record 1
TiMnH2: relaxed, PBE.

Values from the calculation:
Uncorrected energy in eV per atom: -5.733
Offset from the most stable computed form in meV/atom: 389

Lattice parameters (Å, degrees): 5.1163 5.1163 5.1163 90.00 90.00 90.00
Space group Fm-3m (No. 225)
Symmetry-distinct sites (fractional):
Ti 0.0000 0.0000 0.0000 (multiplicity 4)
Mn 0.0000 0.0000 0.5000 (multiplicity 4)
H 0.2500 0.2500 0.2500 (multiplicity 8)

***

Record 2
Cr3CuW: relaxed, PBE.

Values from the calculation:
Uncorrected energy in eV per atom: -7.509
Offset from the most stable computed form in meV/atom: 48
Formation energy in eV/atom: 1.675

Lattice parameters (Å, degrees): 4.6742 4.6742 4.6742 90.00 90.00 90.00
Space group Pm-3m (No. 221)
Symmetry-distinct sites (fractional):
Cr 0.0000 0.0000 0.5000 (multiplicity 3)
Cu 0.5000 0.5000 0.5000 (multiplicity 1)
W 0.0000 0.0000 0.0000 (multiplicity 1)

***

Record 3
Tm7In: relaxed, PBE.

Values from the calculation:
Uncorrected energy in eV per atom: -4.336
Formation energy in eV/atom: -0.081

Lattice parameters (Å, degrees): 9.7703 9.7703 9.7703 90.00 90.00 90.00
Space group Fm-3m (No. 225)
Symmetry-distinct sites (fractional):
Tm 0.0000 0.0000 0.0000 (multiplicity 4)
Tm 0.0000 0.2500 0.2500 (multiplicity 24)
In 0.0000 0.0000 0.5000 (multiplicity 4)

***

Record 4
Zn3Cu3Pt2: relaxed, PBE.

Values from the calculation:
Uncorrected energy in eV per atom: -3.846
Formation energy in eV/atom: -0.322

Lattice parameters (Å, degrees): 3.8195 3.8393 7.4431 90.00 90.00 90.00
Space group Pmmm (No. 47)
Symmetry-distinct sites (fractional):
Zn 0.0000 0.0000 0.0000 (multiplicity 1)
Zn 0.0000 0.0000 0.5000 (multiplicity 1)
Zn 0.5000 0.5000 0.0000 (multiplicity 1)
Cu 0.0000 0.5000 0.2530 (multiplicity 2)
Cu 0.5000 0.5000 0.5000 (multiplicity 1)
Pt 0.5000 0.0000 0.2505 (multiplicity 2)

***

Record 5
BaAc6Au4: relaxed, PBE.

Values from the calculation:
Uncorrected energy in eV per atom: -4.054
Formation energy in eV/atom: -0.447

Lattice parameters (Å, degrees): 7.6368 10.8452 9.9307 90.00 109.69 90.00
Space group Cm (No. 8)
Symmetry-distinct sites (fractional):
Ba 0.0000 0.0000 0.0000 (multiplicity 2)
Ac 0.0435 0.3270 0.0419 (multiplicity 4)
Ac 0.1633 0.2816 0.6704 (multiplicity 4)
Ac 0.2226 0.5000 0.3782 (multiplicity 2)
Ac 0.2247 0.0000 0.4051 (multiplicity 2)
Au 0.0077 0.0000 0.6805 (multiplicity 2)
Au 0.4240 0.2464 0.3156 (multiplicity 4)
Au 0.4265 0.0000 0.7554 (multiplicity 2)

***

Record 6
CsHg2P: relaxed, PBE.

Values from the calculation:
Uncorrected energy in eV per atom: -1.721
Formation energy in eV/atom: -0.004

Lattice parameters (Å, degrees): 4.8338 4.8338 19.9214 90.00 90.00 120.00
Space group R-3m (No. 166, hexagonal axes)
Symmetry-distinct sites (fractional):
Cs 0.0000 0.0000 0.0000 (multiplicity 3)
Hg 0.0000 0.0000 0.2063 (multiplicity 6)
P 0.0000 0.0000 0.5000 (multiplicity 3)

***

The records above give, respectively, total moment values of 7.20 8.66 0.00 0.00 0.00 0.00 μB/cell.